*one*
# GGA-PBE PRuS2F, optimized geometry
# * DOS(E_F): 0.860 states/eV/atom
# * density: 4.6 g/cm3
data_PRuS2F
_space_group_name_H-M_alt 'P 4/m m m'
_space_group_IT_number 123
_space_group_name_Hall '-P 4 2'
_cell_length_a 4.515
_cell_length_b 4.515
_cell_length_c 3.804
_cell_angle_alpha 90.00
_cell_angle_beta 90.00
_cell_angle_gamma 90.00
loop_
_atom_site_label
_atom_site_type_symbol
_atom_site_fract_x
_atom_site_fract_y
_atom_site_fract_z
P1 P 0.000 0.000 0.000
Ru1 Ru 0.500 0.500 0.000
S1 S 0.000 0.500 0.500
F1 F 0.000 0.000 0.500



*two*
# GGA-PBE PRuS2F, optimized geometry
# * DOS(E_F): 1.198 states/eV/atom
# * density: 3.7 g/cm3
data_PRuS2F
_space_group_name_H-M_alt 'P 4/m m m'
_space_group_IT_number 123
_space_group_name_Hall '-P 4 2'
_cell_length_a 4.556
_cell_length_b 4.556
_cell_length_c 4.608
_cell_angle_alpha 90.00
_cell_angle_beta 90.00
_cell_angle_gamma 90.00
loop_
_atom_site_label
_atom_site_type_symbol
_atom_site_fract_x
_atom_site_fract_y
_atom_site_fract_z
P1 P 0.000 0.000 0.000
Ru1 Ru 0.000 0.000 0.500
S1 S 0.000 0.500 0.500
F1 F 0.500 0.500 0.000



Short version: *two* is the most stable of them.



*one*
# GGA-PBE PSF2, optimized geometry
# * DOS(E_F): 0.751 states/eV/atom
# * density: 3.3 g/cm3
data_PSF2
_space_group_name_H-M_alt 'F m -3 m'
_space_group_IT_number 225
_space_group_name_Hall '-F 4 2 3'
_cell_length_a 5.855
_cell_length_b 5.855
_cell_length_c 5.855
_cell_angle_alpha 90.00
_cell_angle_beta 90.00
_cell_angle_gamma 90.00
loop_
_atom_site_label
_atom_site_type_symbol
_atom_site_fract_x
_atom_site_fract_y
_atom_site_fract_z
P1 P 0.000 0.000 0.000
S1 S 0.000 0.000 0.500
F1 F 0.250 0.250 0.250



*two*
# GGA-PBE PSF2, optimized geometry
# * DOS(E_F): 0.366 states/eV/atom
# * density: 2.9 g/cm3
data_PSF2
_space_group_name_H-M_alt 'R -3 m'
_space_group_IT_number 166
_space_group_name_Hall '-R 3 2"'
_cell_length_a 2.6754
_cell_length_b 2.6754
_cell_length_c 28.2864
_cell_angle_alpha 90.00
_cell_angle_beta 90.00
_cell_angle_gamma 120.00
loop_
_atom_site_label
_atom_site_type_symbol
_atom_site_fract_x
_atom_site_fract_y
_atom_site_fract_z
P1 P 0.0000 0.0000 0.0000
S1 S 0.0000 0.0000 0.5000
F1 F 0.0000 0.0000 0.4394



Short version: *two* is the most stable of them.



*one*
# GGA-PBE ScP2SF, optimized geometry
# * DOS(E_F): 0.432 states/eV/atom
# * density: 3.1 g/cm3
data_ScP2SF
_space_group_name_H-M_alt 'P 4/m m m'
_space_group_IT_number 123
_space_group_name_Hall '-P 4 2'
_cell_length_a 3.989
_cell_length_b 3.989
_cell_length_c 5.349
_cell_angle_alpha 90.00
_cell_angle_beta 90.00
_cell_angle_gamma 90.00
loop_
_atom_site_label
_atom_site_type_symbol
_atom_site_fract_x
_atom_site_fract_y
_atom_site_fract_z
Sc1 Sc 0.000 0.000 0.000
P1 P 0.000 0.500 0.500
S1 S 0.500 0.500 0.000
F1 F 0.500 0.500 0.500



*two*
# GGA-PBE ScP2SF, optimized geometry
# * DOS(E_F): 0.474 states/eV/atom
# * density: 2.2 g/cm3
data_ScP2SF
_space_group_name_H-M_alt 'P 4/m m m'
_space_group_IT_number 123
_space_group_name_Hall '-P 4 2'
_cell_length_a 4.967
_cell_length_b 4.967
_cell_length_c 4.741
_cell_angle_alpha 90.00
_cell_angle_beta 90.00
_cell_angle_gamma 90.00
loop_
_atom_site_label
_atom_site_type_symbol
_atom_site_fract_x
_atom_site_fract_y
_atom_site_fract_z
Sc1 Sc 0.000 0.000 0.000
P1 P 0.000 0.500 0.000
S1 S 0.000 0.000 0.500
F1 F 0.500 0.500 0.500



Short version: *one* is the most stable of them.



*one*
# GGA-PBE ScPS2F, optimized geometry
# * DOS(E_F): 0.426 states/eV/atom
# * density: 3.1 g/cm3
data_ScPS2F
_space_group_name_H-M_alt 'P 4/m m m'
_space_group_IT_number 123
_space_group_name_Hall '-P 4 2'
_cell_length_a 4.723
_cell_length_b 4.723
_cell_length_c 3.812
_cell_angle_alpha 90.00
_cell_angle_beta 90.00
_cell_angle_gamma 90.00
loop_
_atom_site_label
_atom_site_type_symbol
_atom_site_fract_x
_atom_site_fract_y
_atom_site_fract_z
Sc1 Sc 0.000 0.000 0.000
P1 P 0.500 0.500 0.000
S1 S 0.000 0.500 0.500
F1 F 0.500 0.500 0.500



*two*
# GGA-PBE ScPS2F, optimized geometry
# * DOS(E_F): 0.588 states/eV/atom
# * density: 2.2 g/cm3
data_ScPS2F
_space_group_name_H-M_alt 'P 4/m m m'
_space_group_IT_number 123
_space_group_name_Hall '-P 4 2'
_cell_length_a 4.796
_cell_length_b 4.796
_cell_length_c 5.126
_cell_angle_alpha 90.00
_cell_angle_beta 90.00
_cell_angle_gamma 90.00
loop_
_atom_site_label
_atom_site_type_symbol
_atom_site_fract_x
_atom_site_fract_y
_atom_site_fract_z
Sc1 Sc 0.000 0.000 0.000
P1 P 0.000 0.000 0.500
S1 S 0.000 0.500 0.000
F1 F 0.500 0.500 0.500



Short version: *one* is the most stable of them.



*one*
# GGA-PBE P2SeSF, optimized geometry
# * DOS(E_F): 0.695 states/eV/atom
# * density: 2.9 g/cm3
data_P2SeSF
_space_group_name_H-M_alt 'P 4/m m m'
_space_group_IT_number 123
_space_group_name_Hall '-P 4 2'
_cell_length_a 4.823
_cell_length_b 4.823
_cell_length_c 4.721
_cell_angle_alpha 90.00
_cell_angle_beta 90.00
_cell_angle_gamma 90.00
loop_
_atom_site_label
_atom_site_type_symbol
_atom_site_fract_x
_atom_site_fract_y
_atom_site_fract_z
P1 P 0.000 0.500 0.000
Se1 Se 0.000 0.000 0.000
S1 S 0.000 0.000 0.500
F1 F 0.500 0.500 0.500



*two*
# GGA-PBE P2SeSF, optimized geometry
# * DOS(E_F): 0.565 states/eV/atom
# * density: 3.4 g/cm3
data_P2SeSF
_space_group_name_H-M_alt 'P 4/m m m'
_space_group_IT_number 123
_space_group_name_Hall '-P 4 2'
_cell_length_a 4.007
_cell_length_b 4.007
_cell_length_c 5.875
_cell_angle_alpha 90.00
_cell_angle_beta 90.00
_cell_angle_gamma 90.00
loop_
_atom_site_label
_atom_site_type_symbol
_atom_site_fract_x
_atom_site_fract_y
_atom_site_fract_z
P1 P 0.000 0.500 0.000
Se1 Se 0.000 0.000 0.500
S1 S 0.500 0.500 0.500
F1 F 0.500 0.500 0.000



Short version: *two* is the most stable of them.



*one*
# GGA-PBE SiPS2F, optimized geometry
# * DOS(E_F): 0.829 states/eV/atom
# * density: 2.7 g/cm3
data_SiPS2F
_space_group_name_H-M_alt 'P 4/m m m'
_space_group_IT_number 123
_space_group_name_Hall '-P 4 2'
_cell_length_a 4.392
_cell_length_b 4.392
_cell_length_c 4.611
_cell_angle_alpha 90.00
_cell_angle_beta 90.00
_cell_angle_gamma 90.00
loop_
_atom_site_label
_atom_site_type_symbol
_atom_site_fract_x
_atom_site_fract_y
_atom_site_fract_z
Si1 Si 0.000 0.000 0.000
P1 P 0.000 0.000 0.500
S1 S 0.000 0.500 0.000
F1 F 0.500 0.500 0.500



*two*
# GGA-PBE SiPS2F, optimized geometry
# * DOS(E_F): 0.613 states/eV/atom
# * density: 2.6 g/cm3
data_SiPS2F
_space_group_name_H-M_alt 'P 4/m m m'
_space_group_IT_number 123
_space_group_name_Hall '-P 4 2'
_cell_length_a 4.941
_cell_length_b 4.941
_cell_length_c 3.678
_cell_angle_alpha 90.00
_cell_angle_beta 90.00
_cell_angle_gamma 90.00
loop_
_atom_site_label
_atom_site_type_symbol
_atom_site_fract_x
_atom_site_fract_y
_atom_site_fract_z
Si1 Si 0.000 0.000 0.000
P1 P 0.500 0.500 0.000
S1 S 0.000 0.500 0.500
F1 F 0.500 0.500 0.500



Short version: *one* is the most stable of them.



*one*
# GGA-PBE SiP2SF, optimized geometry
# * DOS(E_F): 0.381 states/eV/atom
# * density: 2.6 g/cm3
data_SiP2SF
_space_group_name_H-M_alt 'P 4/m m m'
_space_group_IT_number 123
_space_group_name_Hall '-P 4 2'
_cell_length_a 3.985
_cell_length_b 3.985
_cell_length_c 5.656
_cell_angle_alpha 90.00
_cell_angle_beta 90.00
_cell_angle_gamma 90.00
loop_
_atom_site_label
_atom_site_type_symbol
_atom_site_fract_x
_atom_site_fract_y
_atom_site_fract_z
Si1 Si 0.000 0.000 0.000
P1 P 0.000 0.500 0.500
S1 S 0.500 0.500 0.000
F1 F 0.500 0.500 0.500



*two*
# GGA-PBE SiP2SF, optimized geometry
# * DOS(E_F): 0.424 states/eV/atom
# * density: 2.6 g/cm3
data_SiP2SF
_space_group_name_H-M_alt 'P 4/m m m'
_space_group_IT_number 123
_space_group_name_Hall '-P 4 2'
_cell_length_a 4.498
_cell_length_b 4.498
_cell_length_c 4.400
_cell_angle_alpha 90.00
_cell_angle_beta 90.00
_cell_angle_gamma 90.00
loop_
_atom_site_label
_atom_site_type_symbol
_atom_site_fract_x
_atom_site_fract_y
_atom_site_fract_z
Si1 Si 0.000 0.000 0.000
P1 P 0.000 0.500 0.000
S1 S 0.000 0.000 0.500
F1 F 0.500 0.500 0.500



Short version: *two* is the most stable of them.